First-principles (PBE) data for Mg2CdPt2 after structural relaxation, as listed in Alexandria.

Cell and atoms, written as POSCAR:
```
Mg2CdPt2
1.0
-2.0221 2.0221 5.9894
2.0221 -2.0221 5.9894
2.0221 2.0221 -5.9894
Mg Cd Pt
2 1 2
Direct
0.2500 0.7500 0.5000
0.7500 0.2500 0.5000
0.0000 0.0000 0.0000
0.3915 0.3915 0.0000
0.6085 0.6085 0.0000
```

Properties
The density of states at the Fermi level is 1.816 states/eV per cell. The value obtained for the electronic total energy is -3.66 eV/atom.

---

First-principles (PBE) data for MgCdPt2 after structural relaxation, as listed in Alexandria.

Cell and atoms, written as POSCAR:
```
MgCdPt2
1.0
1.4588 0.8422 9.1793
-1.4588 0.8422 9.1793
0.0000 -1.6844 9.1793
Mg Cd Pt
1 1 2
Direct
0.0000 0.0000 0.0000
0.5000 0.5000 0.5000
0.2566 0.2566 0.2566
0.7434 0.7434 0.7434
```

Properties
The density of states at the Fermi level is 3.425 states/eV per cell. The value obtained for the electronic total energy is -4.07 eV/atom.

---

Total moment in μB/f.u., matching the order above: 0.00, 0.00
E_form in meV per atom, matching the order above: -428, -424
Ρ in Mg/m³, matching the order above: 9.34, 12.93